# 1
Here is Sc4Cd2In after structural relaxation from Alexandria via LeMat-Bulk. Energies are from PBE-GGA.

```
Sc4Cd2In
1.0
4.7185 0.0000 1.4742
2.1290 4.2109 1.4742
-0.0411 -0.0253 8.4202
Sc Cd In
4 2 1
direct
0.8693 0.8693 0.3920
0.3860 0.3860 0.8419
0.1307 0.1307 0.6080
0.6140 0.6140 0.1581
0.7462 0.7462 0.7613
0.2538 0.2538 0.2387
0.0000 0.0000 0.0000
```

Its energy relative to the elements is -0.1364 eV per atom. The calculated volume is 167.7 Å³ per cell. The value obtained for the total energy is -4.407 eV per atom. As for the density: 5145 kg/m3. As for the space group: R-3m.


# 2
Here is PmScHg after structural relaxation from Alexandria via LeMat-Bulk. Energies are from PBE-GGA.

```
PmScHg
1.0
3.7732 0.0000 -0.3593
0.0000 4.9135 0.0000
0.8078 0.0000 8.5406
Sc Hg Pm
2 2 2
direct
0.2499 0.2500 0.5360
0.7501 0.7500 0.4640
0.2502 0.7500 0.7472
0.7498 0.2500 0.2528
0.7502 0.2500 0.8679
0.2498 0.7500 0.1321
```

Its energy relative to the elements is -0.2772 eV per atom. The calculated volume is 159.8 Å³ per cell. The value obtained for the total energy is -4.072 eV per atom. As for the density: 8118 kg/m3. As for the space group: Pmmn.


Which of these has the highest energy relative to the elements? Sc4Cd2In


Number 1 is which compound? Sc4Cd2In